# CsCdAg2I4

A relaxed structure of CsCdAg2I4 (GGA-PBE, Alexandria via LeMat-Bulk).

Calculated values
raw formation energy: -0.4892 eV per atom
electronic total energy: -17.6 eV/f.u.

a b c (Å): 7.7626 7.7626 7.7626
angles (deg): 115.66 107.36 105.58
Positions (direct):
Cs 0.0000 0.0000 0.0000
Cd 0.5000 0.5000 0.0000
Ag 0.3384 0.8384 0.5000
Ag 0.6616 0.1616 0.5000
I 0.1312 0.0641 0.5622
I 0.4981 0.9359 0.0672
I 0.5019 0.5691 0.4378
I 0.8688 0.4309 0.9328



# TaP2W

A relaxed structure of TaP2W (GGA-PBE, Alexandria via LeMat-Bulk).

Calculated values
formation enthalpy at 0 K: -123 meV/atom
electronic total energy: -36.1 eV/f.u.

a b c (Å): 3.1099 3.3236 6.0518
angles (deg): 90.00 90.00 90.00
Positions (direct):
Ta 0.0000 0.0000 0.0000
P 0.5000 0.5000 0.2111
P 0.5000 0.5000 0.7889
W 0.5000 0.0000 0.5000



# TbHo2Si

A relaxed structure of TbHo2Si (GGA-PBE, Alexandria via LeMat-Bulk).

Calculated values
raw formation energy: -0.2572 eV per atom
electronic total energy: -20.2 eV/f.u.
energy relative to the lowest polymorph listed for this composition: 0.000 eV/atom

a b c (Å): 4.6194 4.6194 4.6187
angles (deg): 90.00 90.00 90.00
Positions (direct):
Tb 0.0000 0.0000 0.0000
Ho 0.0000 0.5000 0.5000
Ho 0.5000 0.0000 0.5000
Si 0.5000 0.5000 0.0000



# TiIn2Ga

A relaxed structure of TiIn2Ga (GGA-PBE, Alexandria via LeMat-Bulk).

Calculated values
formation enthalpy at 0 K: 191 meV/atom
electronic total energy: -15.6 eV/f.u.

a b c (Å): 6.2126 6.2126 6.2126
angles (deg): 102.26 102.26 125.13
Positions (direct):
Ti 0.0000 0.0000 0.0000
Ti 0.7500 0.2500 0.5000
In 0.1437 0.1250 0.5187
In 0.3750 0.8563 0.9813
In 0.6063 0.6250 0.4813
In 0.8750 0.3937 0.0187
Ga 0.2500 0.7500 0.5000
Ga 0.5000 0.5000 0.0000



# SrTaIrSe2

A relaxed structure of SrTaIrSe2 (GGA-PBE, Alexandria via LeMat-Bulk).

Calculated values
raw formation energy: 2.2976 eV per atom
electronic total energy: -17.9 eV/f.u.

a b c (Å): 5.3107 5.3107 5.4238
angles (deg): 90.00 90.00 90.00
Positions (direct):
Sr 0.0000 0.0000 0.0000
Ta 0.0000 0.0000 0.5000
Ir 0.5000 0.5000 0.5000
Se 0.0000 0.5000 0.0000
Se 0.5000 0.0000 0.0000



# Cr

A relaxed structure of Cr (GGA-PBE, Alexandria via LeMat-Bulk).

Calculated values
formation enthalpy at 0 K: 1044 meV/atom
electronic total energy: -8.6 eV/f.u.
energy relative to the lowest polymorph listed for this composition: 1.044 eV/atom

a b c (Å): 3.8332 3.8332 4.3684
angles (deg): 90.00 90.00 120.00
Positions (direct):
Cr 0.0000 0.0000 0.2500
Cr 0.0000 0.0000 0.7500
Cr 0.3333 0.6667 0.2500
Cr 0.6667 0.3333 0.7500



# Na2CdAg

A relaxed structure of Na2CdAg (GGA-PBE, Alexandria via LeMat-Bulk).

Calculated values
formation enthalpy at 0 K: -23 meV/atom
electronic total energy: -6.5 eV/f.u.

a b c (Å): 4.6391 4.6391 4.4670
angles (deg): 90.00 90.00 90.00
Positions (direct):
Na 0.0000 0.5000 0.0000
Na 0.5000 0.0000 0.0000
Cd 0.0000 0.0000 0.5000
Ag 0.5000 0.5000 0.5000



Number 1: V 356.8 Å³ per cell. Number 2: V 62.6 Å³ per cell. Number 3: V 98.6 Å³ per cell. Number 4: V 174.1 Å³ per cell. Number 5: V 153.0 Å³ per cell. Number 6: V 55.6 Å³ per cell. Number 7: V 96.1 Å³ per cell.